Record 1
Entry from the Alexandria database: a relaxed SmDyY2 crystal (PBE).

Calculated values
Energy relative to the lowest polymorph listed for this composition = 0.04 eV per formula unit
VASP energy = -5.54 eV per atom
Energy relative to the elements = 0.02 eV/atom
Crystal system = tetragonal

Cell lengths 3.577, 3.577, 10.128 Å; angles 90.00, 90.00, 90.00 degrees
Space group P4/mmm (No. 123)
One atom of each set of equivalent atoms:
Sm  0.000  0.000  0.000 x1
Dy  0.000  0.000  0.500 x1
Y  0.500  0.500  0.253 x2

Record 2
Entry from the Alexandria database: a relaxed Li2BiPb crystal (PBE).

Calculated values
VASP energy = -3.19 eV per atom
Energy relative to the elements = -0.34 eV/atom
Crystal system = tetragonal

Cell lengths 4.808, 4.808, 4.069 Å; angles 90.00, 90.00, 90.00 degrees
Space group P4/mmm (No. 123)
One atom of each set of equivalent atoms:
Li  0.000  0.500  0.000 x2
Bi  0.000  0.000  0.500 x1
Pb  0.500  0.500  0.500 x1

The D(E_F) results, record by record, are as follows: 5.41 0.83 states/eV/f.u..